1.
{
  "formula": "Ti2AgCl",
  "functional": "meta-GGA SCAN",
  "state": "PBEsol geometry",
  "cell": [[0.0000, 3.1760, 3.1760], [3.1760, 0.0000, 3.1760], [3.1760, 3.1760, 0.0000]],
  "species": ["Ti", "Ti", "Ag", "Cl"],
  "fractional_positions": [[0.2500, 0.2500, 0.2500], [0.7500, 0.7500, 0.7500], [0.0000, 0.0000, 0.0000], [0.5000, 0.5000, 0.5000]],
  "magmom_total_mub_per_fu": 0.00,
  "formation_energy_uncorrected_ev_per_fu": 0.50,
  "dft_energy_ev_per_atom": -17.7259
}

2.
{
  "formula": "TlAgCl2",
  "functional": "meta-GGA SCAN",
  "state": "PBEsol geometry",
  "cell": [[3.7370, 0.0000, 0.0000], [0.0000, 3.7265, 0.0000], [-1.6071, 0.0000, 6.9330]],
  "species": ["Tl", "Ag", "Cl", "Cl"],
  "fractional_positions": [[0.0000, 0.0000, 0.0000], [0.5000, 0.0000, 0.5000], [0.3764, 0.5000, 0.7299], [0.6236, 0.5000, 0.2701]],
  "magmom_total_mub_per_fu": 0.00,
  "formation_energy_uncorrected_ev_per_fu": -3.10,
  "dft_energy_ev_per_atom": -30.6941
}